(1)
This record from the Open Quantum Materials Database describes a relaxed structure of Hg2H10C3NCl5. The functional is PBE.

Values from the calculation:
- calculated density (g/cm³) = 3.3
- E_tot (eV/atom) = -4.17
- space group = No. 2

```
data_Hg2H10C3NCl5
_chemical_formula_sum 'Hg4 H20 C6 N2 Cl10'
_space_group_name_H-M_alt 'P 1'
_space_group_IT_number 1
_cell_length_a 6.246
_cell_length_b 10.059
_cell_length_c 10.942
_cell_angle_alpha 94.09
_cell_angle_beta 105.01
_cell_angle_gamma 98.53
loop_
_space_group_symop_operation_xyz
'x,y,z'
loop_
_atom_site_label
_atom_site_fract_x
_atom_site_fract_y
_atom_site_fract_z
C1 0.606 0.287 0.104
C2 0.465 0.471 0.202
C3 0.783 0.375 0.329
C4 0.217 0.625 0.671
C5 0.535 0.529 0.798
C6 0.394 0.713 0.896
Cl1 0.003 0.651 0.125
Cl2 0.103 0.126 0.152
Cl3 0.588 0.917 0.204
Cl4 0.193 0.894 0.440
Cl5 0.328 0.333 0.470
Cl6 0.672 0.667 0.530
Cl7 0.807 0.106 0.560
Cl8 0.412 0.083 0.796
Cl9 0.897 0.874 0.848
Cl10 0.997 0.349 0.875
H1 0.448 0.273 0.028
H2 0.736 0.357 0.079
H3 0.661 0.190 0.120
H4 0.303 0.442 0.129
H5 0.579 0.546 0.170
H6 0.455 0.277 0.250
H7 0.440 0.512 0.292
H8 0.899 0.456 0.306
H9 0.855 0.282 0.339
H10 0.742 0.407 0.417
H11 0.258 0.593 0.583
H12 0.145 0.718 0.661
H13 0.101 0.544 0.694
H14 0.560 0.488 0.708
H15 0.545 0.723 0.750
H16 0.421 0.454 0.830
H17 0.697 0.558 0.871
H18 0.339 0.810 0.880
H19 0.264 0.643 0.921
H20 0.552 0.727 0.972
Hg1 0.079 0.889 0.161
Hg2 0.685 0.870 0.429
Hg3 0.315 0.130 0.571
Hg4 0.921 0.111 0.839
N1 0.570 0.348 0.224
N2 0.430 0.652 0.776
```

=====

(2)
This record from the Open Quantum Materials Database describes a relaxed structure of NaTbFeSe3. The functional is PBE.

Values from the calculation:
- calculated density (g/cm³) = 5.2
- space group = No. 62
- relative energy among the computed polymorphs (kJ/mol of formula units) = 0

```
data_NaTbFeSe3
_chemical_formula_sum 'Na4 Tb4 Fe4 Se12'
_space_group_name_H-M_alt 'P 1'
_space_group_IT_number 1
_cell_length_a 13.818
_cell_length_b 3.997
_cell_length_c 11.047
_cell_angle_alpha 90.00
_cell_angle_beta 90.00
_cell_angle_gamma 90.00
loop_
_space_group_symop_operation_xyz
'x,y,z'
loop_
_atom_site_label
_atom_site_fract_x
_atom_site_fract_y
_atom_site_fract_z
Fe1 0.492 0.250 0.080
Fe2 0.992 0.250 0.420
Fe3 0.008 0.750 0.580
Fe4 0.508 0.750 0.920
Na1 0.271 0.750 0.051
Na2 0.771 0.750 0.449
Na3 0.229 0.250 0.551
Na4 0.729 0.250 0.949
Se1 0.113 0.250 0.066
Se2 0.600 0.750 0.113
Se3 0.366 0.250 0.232
Se4 0.866 0.250 0.268
Se5 0.100 0.750 0.387
Se6 0.613 0.250 0.434
Se7 0.387 0.750 0.566
Se8 0.900 0.250 0.613
Se9 0.134 0.750 0.732
Se10 0.634 0.750 0.768
Se11 0.400 0.250 0.887
Se12 0.887 0.750 0.934
Tb1 0.986 0.750 0.159
Tb2 0.486 0.750 0.341
Tb3 0.514 0.250 0.659
Tb4 0.014 0.250 0.841
```

=====

Q: calculated density of number 1 (Hg2H10C3NCl5)?
A: 3.3 g/cm³

=====

Q: Look up the calculated density of the first one.
A: 3.3 g/cm³

=====

Q: Look up the calculated density of the first one.
A: 3.3 g/cm³